Below is crystalline NaAg8Pd2 at its relaxed geometry, with properties calculated at the PBE-GGA level.

## Properties
E	-0.227	Ry/atom
SG	C2/m (12)
crystal system	monoclinic

Cell lengths 8.2419, 8.2419, 5.0751 Å; angles 107.89, 107.89, 125.08 degrees
With the nearest neighbours (Å) after each atom.
Fractional coordinates of all 11 atoms:
Na 0.0000 0.0000 0.0000  6 Ag 2.81-3.11
Ag 0.0970 0.3892 0.7438  7 Ag 2.76-2.97, 3 Pd 2.92-2.96
Ag 0.1918 0.8082 0.0000  6 Ag 2.78-2.97, 1 Na 2.81, 2 Pd 2.84
Ag 0.3892 0.0970 0.7438  7 Ag 2.76-2.97, 3 Pd 2.92-2.96
Ag 0.4984 0.4984 0.7472  2 Ag 2.52-2.55
Ag 0.5016 0.5016 0.2528  2 Ag 2.52-2.55
Ag 0.6108 0.9030 0.2562  7 Ag 2.76-2.97, 3 Pd 2.92-2.96
Ag 0.8082 0.1918 0.0000  6 Ag 2.78-2.97, 1 Na 2.81, 2 Pd 2.84
Ag 0.9030 0.6108 0.2562  7 Ag 2.76-2.97, 3 Pd 2.92-2.96
Pd 0.3222 0.6778 0.5000  12 Ag 2.84-3.17
Pd 0.6778 0.3222 0.5000  12 Ag 2.84-3.17

***

Below is crystalline La2TiAlN at its relaxed geometry, with properties calculated at the PBE-GGA level.

## Properties
energy relative to the elements, uncorrected	-0.73	eV/atom
SG	P4/mmm (123)
crystal system	tetragonal

Cell lengths 5.2842, 5.2842, 4.0464 Å; angles 90.00, 90.00, 90.00 degrees
With the nearest neighbours (Å) after each atom.
Fractional coordinates of all 5 atoms:
La 0.0000 0.5000 0.0000  2 N 2.64
La 0.5000 0.0000 0.0000  2 N 2.64
Ti 0.0000 0.0000 0.5000  2 N 2.02
Al 0.5000 0.5000 0.5000  8 La 3.33
N 0.0000 0.0000 0.0000  2 Ti 2.02

***

Below is crystalline Pm2HfScSb4 at its relaxed geometry, with properties calculated at the PBE-GGA level.

## Properties
energy relative to the elements, uncorrected	-0.93	eV/atom
SG	P2/m (10)
crystal system	monoclinic

Cell lengths 7.4475, 4.3047, 7.4665 Å; angles 90.00, 109.37, 90.00 degrees
With the nearest neighbours (Å) after each atom.
Fractional coordinates of all 8 atoms:
Pm 0.0000 0.0000 0.0000  6 Sb 3.14
Pm 0.5000 0.5000 0.0000  6 Sb 3.15
Hf 0.0000 0.5000 0.5000  6 Sb 2.94-2.95
Sc 0.5000 0.0000 0.5000  6 Sb 2.96
Sb 0.2408 0.0000 0.7261  2 Hf 2.95, 1 Sc 2.96, 3 Pm 3.14-3.15
Sb 0.2562 0.5000 0.2735  1 Hf 2.94, 2 Sc 2.96, 3 Pm 3.14-3.15
Sb 0.7438 0.5000 0.7265  1 Hf 2.94, 2 Sc 2.96, 3 Pm 3.14-3.15
Sb 0.7592 0.0000 0.2739  2 Hf 2.95, 1 Sc 2.96, 3 Pm 3.14-3.15

***

Below is crystalline Ba4AsBr4 at its relaxed geometry, with properties calculated at the PBE-GGA level.

## Properties
energy relative to the elements, uncorrected	-1.80	eV/atom
SG	C2/m (12)
crystal system	monoclinic

Cell lengths 8.2682, 8.2682, 11.8499 Å; angles 119.53, 119.53, 33.55 degrees
With the nearest neighbours (Å) after each atom.
Fractional coordinates of all 9 atoms:
Ba 0.0869 0.0869 0.4024  2 As 3.25, 4 Br 3.34-3.49
Ba 0.3016 0.3016 0.2168  1 As 3.21, 5 Br 3.31-3.40
Ba 0.6984 0.6984 0.7832  1 As 3.21, 5 Br 3.31-3.40
Ba 0.9131 0.9131 0.5976  2 As 3.25, 4 Br 3.34-3.49
As 0.5000 0.5000 0.5000  6 Ba 3.21-3.25
Br 0.1165 0.1165 0.8964  4 Ba 3.31-3.40
Br 0.3026 0.3026 0.6959  5 Ba 3.35-3.49
Br 0.6974 0.6974 0.3041  5 Ba 3.35-3.49
Br 0.8835 0.8835 0.1036  4 Ba 3.31-3.40

***

Below is crystalline KTaRh2 at its relaxed geometry, with properties calculated at the PBE-GGA level.

## Properties
E	-0.465	Ry/atom
SG	Cmm2 (35)
crystal system	orthorhombic

Cell lengths 2.8391, 2.8391, 10.4912 Å; angles 90.00, 90.00, 116.38 degrees
With the nearest neighbours (Å) after each atom.
Fractional coordinates of all 4 atoms:
K 0.0000 0.0000 0.0000  6 K 2.84-2.99, 2 Rh 3.10
Ta 0.5000 0.5000 0.3178  2 Rh 2.62, 4 Ta 2.84
Rh 0.0000 0.0000 0.5225  2 Ta 2.62, 6 Rh 2.74-2.84
Rh 0.5000 0.5000 0.7417  8 Rh 2.74-2.99

***

Below is crystalline PmThSiHg at its relaxed geometry, with properties calculated at the PBE-GGA level.

## Properties
energy relative to the elements, uncorrected	-0.35	eV/atom
SG	F-43m (216)
crystal system	cubic

Cell lengths 5.2653, 5.2653, 5.2653 Å; angles 60.00, 60.00, 60.00 degrees
With the nearest neighbours (Å) after each atom.
Fractional coordinates of all 4 atoms:
Pm 0.0000 0.0000 0.0000  4 Si 3.22, 4 Hg 3.22
Th 0.5000 0.5000 0.5000  4 Si 3.22, 4 Hg 3.22
Si 0.7500 0.7500 0.7500  4 Th 3.22, 4 Pm 3.22
Hg 0.2500 0.2500 0.2500  4 Th 3.22, 4 Pm 3.22

***

Below is crystalline Li2Cd2Cu at its relaxed geometry, with properties calculated at the PBE-GGA level.

## Properties
E	-0.143	Ry/atom
SG	P4/mbm (127)
crystal system	tetragonal

Cell lengths 6.4931, 6.4931, 4.0563 Å; angles 90.00, 90.00, 90.00 degrees
With the nearest neighbours (Å) after each atom.
Fractional coordinates of all 10 atoms:
Li 0.1381 0.3619 0.0000  2 Cu 2.52, 1 Li 2.54, 2 Cd 2.68
Li 0.3619 0.8619 0.0000  2 Cu 2.52, 1 Li 2.54, 2 Cd 2.68
Li 0.6381 0.1381 0.0000  2 Cu 2.52, 1 Li 2.54, 2 Cd 2.68
Li 0.8619 0.6381 0.0000  2 Cu 2.52, 1 Li 2.54, 2 Cd 2.68
Cd 0.1709 0.6709 0.5000  6 Li 2.68-2.86
Cd 0.3291 0.1709 0.5000  6 Li 2.68-2.86
Cd 0.6709 0.8291 0.5000  6 Li 2.68-2.86
Cd 0.8291 0.3291 0.5000  6 Li 2.68-2.86
Cu 0.0000 0.0000 0.0000  4 Li 2.52
Cu 0.5000 0.5000 0.0000  4 Li 2.52

***

Below is crystalline HfZrTlHg2 at its relaxed geometry, with properties calculated at the PBE-GGA level.

## Properties
E	-0.261	Ry/atom
SG	P4/mmm (123)
crystal system	tetragonal

Cell lengths 5.5484, 5.5484, 5.1269 Å; angles 90.00, 90.00, 90.00 degrees
With the nearest neighbours (Å) after each atom.
Fractional coordinates of all 5 atoms:
Hf 0.0000 0.0000 0.0000  2 Zr 2.56, 4 Hg 2.77
Zr 0.0000 0.0000 0.5000  2 Hf 2.56
Tl 0.5000 0.5000 0.5000  8 Hg 3.78, 4 Zr 3.92
Hg 0.0000 0.5000 0.0000  2 Hf 2.77
Hg 0.5000 0.0000 0.0000  2 Hf 2.77

***

Per-record DOS at the Fermi energy, states/eV per cell: 3.7, 4.1, 1.6, 3.6, 7.2, 3.3, 2.9, 4.8